Material: TlRe2Ir
Method: DFT, PBE
State: optimized geometry

Results
Energy above the lowest structure with this stoichiometry = 761.5 meV per atom
SG = I-42d (122)
Final energy = -7.860 eV/atom
Formation energy = 1.17 eV/atom

Lattice parameters (Å, degrees): 5.962 5.962 5.962 101.26 101.26 127.54
Sites, in units of the cell vectors:
Tl  0.000  0.000  0.000
Tl  0.750  0.250  0.500
Re  0.175  0.125  0.550
Re  0.375  0.825  0.950
Re  0.575  0.625  0.450
Re  0.875  0.425  0.050
Ir  0.250  0.750  0.500
Ir  0.500  0.500  0.000

***

Material: TlReIr2
Method: DFT, PBE
State: optimized geometry

Results
Energy above the lowest structure with this stoichiometry = 433.3 meV per atom
SG = I-4m2 (119)
Final energy = -7.510 eV/atom
Formation energy = 0.62 eV/atom

Lattice parameters (Å, degrees): 4.928 4.928 4.928 131.83 131.83 70.50
Sites, in units of the cell vectors:
Tl  0.000  0.000  0.000
Re  0.750  0.250  0.500
Ir  0.250  0.750  0.500
Ir  0.500  0.500  0.000

***

Material: TlReIr2
Method: DFT, PBE
State: optimized geometry

Results
Energy above the lowest structure with this stoichiometry = 273.3 meV per atom
SG = Cm (8)
Final energy = -7.670 eV/atom
Formation energy = 0.46 eV/atom

Lattice parameters (Å, degrees): 4.855 4.855 5.042 99.48 99.48 34.36
Sites, in units of the cell vectors:
Tl  0.000  0.000  0.000
Re  0.239  0.239  0.683
Ir  0.502  0.502  0.510
Ir  0.757  0.757  0.238